This record from the Alexandria database describes an optimized crystal structure of BaNaIn2. The functional is PBE-GGA.

Results
- symmetry = I-42d
- theoretical density (g/cm³) = 4.13
- VASP energy (eV per atom) = -2.24
- magnetization (μB per formula unit) = 0.00
- excess energy over the best structure of this formula in the dataset (kJ/mol of atoms) = 17.8

abc: 11.4467 11.4467 11.4467
angles: 152.77 152.77 38.88
Closest atoms and distances in Å follow each position.
Atoms (fractional coordinates):
Ba1 0.0000 0.0000 0.0000  4 In 3.67, 4 Na 3.81
Ba2 0.7500 0.2500 0.5000  4 In 3.67, 4 Na 3.81
Na1 0.2500 0.7500 0.5000  4 In 3.08
Na2 0.5000 0.5000 0.0000  4 In 3.08
In1 0.2631 0.6250 0.1381  2 In 2.95, 2 Na 3.08
In2 0.3750 0.5131 0.6381  2 In 2.95, 2 Na 3.08
In3 0.4869 0.1250 0.8619  2 In 2.95, 2 Na 3.08
In4 0.8750 0.7369 0.3619  2 In 2.95, 2 Na 3.08


This record from the Alexandria database describes an optimized crystal structure of Ba2HBr2. The functional is PBE-GGA.

Results
- symmetry = P4/mmm
- theoretical density (g/cm³) = 1.47
- VASP energy (eV per atom) = -2.65
- magnetization (μB per formula unit) = 0.00

abc: 5.7105 5.7105 15.1191
angles: 90.00 90.00 90.00
Closest atoms and distances in Å follow each position.
Atoms (fractional coordinates):
Ba1 0.0000 0.0000 0.1674  1 H 2.53
Ba2 0.0000 0.0000 0.8326  1 H 2.53
H1 0.0000 0.0000 0.0000  2 Ba 2.53
Br1 0.0000 0.0000 0.3562  1 Ba 2.85
Br2 0.0000 0.0000 0.6438  1 Ba 2.85


This record from the Alexandria database describes an optimized crystal structure of Pa3CN3. The functional is PBE-GGA.

Results
- symmetry = R-3
- formation energy (no corrections) (eV/atom) = -1.26
- theoretical density (g/cm³) = 11.07
- VASP energy (eV per atom) = -10.21
- magnetization (μB per formula unit) = 0.00

abc: 7.0072 7.0072 7.0072
angles: 56.59 56.59 56.59
Closest atoms and distances in Å follow each position.
Atoms (fractional coordinates):
Pa1 0.0632 0.7667 0.4178  4 N 2.28-2.32
Pa2 0.2333 0.5822 0.9368  4 N 2.28-2.32
Pa3 0.4178 0.0632 0.7667  4 N 2.28-2.32
Pa4 0.5822 0.9368 0.2333  4 N 2.28-2.32
Pa5 0.7667 0.4178 0.0632  4 N 2.28-2.32
Pa6 0.9368 0.2333 0.5822  4 N 2.28-2.32
C1 0.1710 0.1710 0.1710  6 Pa 2.56-2.67
C2 0.8290 0.8290 0.8290  6 Pa 2.56-2.67
N1 0.0733 0.3778 0.6961  4 Pa 2.28-2.32
N2 0.3039 0.9267 0.6222  4 Pa 2.28-2.32
N3 0.3778 0.6961 0.0733  4 Pa 2.28-2.32
N4 0.6222 0.3039 0.9267  4 Pa 2.28-2.32
N5 0.6961 0.0733 0.3778  4 Pa 2.28-2.32
N6 0.9267 0.6222 0.3039  4 Pa 2.28-2.32


This record from the Alexandria database describes an optimized crystal structure of TaCoPd3. The functional is PBE-GGA.

Results
- symmetry = Pm-3m
- theoretical density (g/cm³) = 8.39
- VASP energy (eV per atom) = -5.64
- magnetization (μB per formula unit) = 1.95
- excess energy over the best structure of this formula in the dataset (kJ/mol of atoms) = 24.1

abc: 4.8013 4.8013 4.8013
angles: 90.00 90.00 90.00
Closest atoms and distances in Å follow each position.
Atoms (fractional coordinates):
Ta1 0.0000 0.0000 0.0000  6 Pd 2.40
Co1 0.5000 0.5000 0.5000  12 Pd 3.40
Pd1 0.0000 0.0000 0.5000  2 Ta 2.40
Pd2 0.0000 0.5000 0.0000  2 Ta 2.40
Pd3 0.5000 0.0000 0.0000  2 Ta 2.40


This record from the Alexandria database describes an optimized crystal structure of Ac3Fe2Si4. The functional is PBE-GGA.

Results
- symmetry = C2/m
- formation energy (no corrections) (eV/atom) = -0.44
- theoretical density (g/cm³) = 7.59
- VASP energy (eV per atom) = -6.10
- magnetization (μB per formula unit) = 0.93

abc: 6.3035 6.3035 8.2763
angles: 105.37 105.37 38.88
Closest atoms and distances in Å follow each position.
Atoms (fractional coordinates):
Ac1 0.0000 0.0000 0.0000  8 Si 3.22-3.57
Ac2 0.3938 0.3938 0.3120  8 Si 3.16-3.45, 3 Fe 3.19-3.21, 1 Ac 3.41
Ac3 0.6062 0.6062 0.6880  8 Si 3.16-3.45, 3 Fe 3.19-3.21, 1 Ac 3.41
Fe1 0.2945 0.2945 0.6352  4 Si 2.31-2.38
Fe2 0.7055 0.7055 0.3648  4 Si 2.31-2.38
Si1 0.1336 0.1336 0.3966  3 Fe 2.31-2.33
Si2 0.2790 0.2790 0.9161  1 Fe 2.38
Si3 0.7210 0.7210 0.0839  1 Fe 2.38
Si4 0.8664 0.8664 0.6034  3 Fe 2.31-2.33


This record from the Alexandria database describes an optimized crystal structure of CaH3Pt. The functional is PBE-GGA.

Results
- symmetry = P2_1/c
- theoretical density (g/cm³) = 6.71
- VASP energy (eV per atom) = -4.13
- magnetization (μB per formula unit) = 0.00

abc: 6.1783 4.5784 8.8363
angles: 90.00 109.44 90.00
Closest atoms and distances in Å follow each position.
Atoms (fractional coordinates):
Ca1 0.2233 0.2251 0.1632  5 H 2.22-2.39
Ca2 0.2233 0.2749 0.6632  5 H 2.22-2.39
Ca3 0.7767 0.7251 0.3368  5 H 2.22-2.39
Ca4 0.7767 0.7749 0.8368  5 H 2.22-2.39
H1 0.1274 0.5227 0.9276  1 Pt 1.67
H2 0.1274 0.9773 0.4276  1 Pt 1.67
H3 0.1532 0.5065 0.3460  1 Pt 1.63
H4 0.1532 0.9935 0.8460  1 Pt 1.63
H5 0.4898 0.5618 0.1258  1 Pt 1.69
H6 0.4898 0.9382 0.6258  1 Pt 1.69
H7 0.5102 0.0618 0.3742  1 Pt 1.69
H8 0.5102 0.4382 0.8742  1 Pt 1.69
H9 0.8468 0.0065 0.1540  1 Pt 1.63
H10 0.8468 0.4935 0.6540  1 Pt 1.63
H11 0.8726 0.0227 0.5724  1 Pt 1.67
H12 0.8726 0.4773 0.0724  1 Pt 1.67
Pt1 0.3328 0.7245 0.4723  3 H 1.63-1.69
Pt2 0.3328 0.7755 0.9723  3 H 1.63-1.69
Pt3 0.6672 0.2245 0.0277  3 H 1.63-1.69
Pt4 0.6672 0.2755 0.5277  3 H 1.63-1.69


This record from the Alexandria database describes an optimized crystal structure of Tl2VH. The functional is PBE-GGA.

Results
- symmetry = Fm-3m
- theoretical density (g/cm³) = 9.67
- VASP energy (eV per atom) = -3.38
- magnetization (μB per formula unit) = 3.32
- excess energy over the best structure of this formula in the dataset (kJ/mol of atoms) = 18.4

abc: 4.8185 4.8185 4.8185
angles: 60.00 60.00 60.00
Closest atoms and distances in Å follow each position.
Atoms (fractional coordinates):
Tl1 0.2500 0.2500 0.2500  4 H 2.95, 4 V 2.95
Tl2 0.7500 0.7500 0.7500  4 H 2.95, 4 V 2.95
V1 0.0000 0.0000 0.0000  8 Tl 2.95
H1 0.5000 0.5000 0.5000  8 Tl 2.95


This record from the Alexandria database describes an optimized crystal structure of Hf2TlAgH. The functional is PBE-GGA.

Results
- symmetry = P4/mmm
- theoretical density (g/cm³) = 13.13
- VASP energy (eV per atom) = -5.72
- magnetization (μB per formula unit) = 0.00

abc: 4.3526 4.3526 4.4733
angles: 90.00 90.00 90.00
Closest atoms and distances in Å follow each position.
Atoms (fractional coordinates):
Hf1 0.0000 0.5000 0.0000  2 H 2.18
Hf2 0.5000 0.0000 0.0000  2 H 2.18
Tl1 0.0000 0.0000 0.5000  4 Ag 3.08, 8 Hf 3.12
Ag1 0.5000 0.5000 0.5000  2 H 2.24
H1 0.5000 0.5000 0.0000  4 Hf 2.18, 2 Ag 2.24


This record from the Alexandria database describes an optimized crystal structure of Tb6PC2Cl3. The functional is PBE-GGA.

Results
- symmetry = C2/m
- formation energy (no corrections) (eV/atom) = -1.25
- theoretical density (g/cm³) = 7.26
- VASP energy (eV per atom) = -6.01
- magnetization (μB per formula unit) = 0.00

abc: 8.9567 8.9567 8.1248
angles: 107.57 107.57 24.28
Closest atoms and distances in Å follow each position.
Atoms (fractional coordinates):
Tb1 0.0238 0.0238 0.2465  1 C 2.43, 2 P 2.69
Tb2 0.3180 0.3180 0.4475  3 C 2.47-2.54
Tb3 0.3342 0.3342 0.8636  2 C 2.48, 1 P 2.77
Tb4 0.6658 0.6658 0.1364  2 C 2.48, 1 P 2.77
Tb5 0.6820 0.6820 0.5525  3 C 2.47-2.54
Tb6 0.9762 0.9762 0.7535  1 C 2.43, 2 P 2.69
P1 0.5000 0.5000 0.0000  6 Tb 2.69-2.77
C1 0.1697 0.1697 0.3367  6 Tb 2.43-2.54
C2 0.8303 0.8303 0.6633  6 Tb 2.43-2.54
Cl1 0.1657 0.1657 0.8291  6 Tb 2.88-3.18
Cl2 0.5000 0.5000 0.5000  6 Tb 2.91-3.08
Cl3 0.8343 0.8343 0.1709  6 Tb 2.88-3.18


This record from the Alexandria database describes an optimized crystal structure of In2IrOs. The functional is PBE-GGA.

Results
- symmetry = Pmm2
- theoretical density (g/cm³) = 14.50
- VASP energy (eV per atom) = -6.00
- magnetization (μB per formula unit) = 0.00

abc: 2.9451 4.0843 5.8279
angles: 90.00 90.00 90.00
Closest atoms and distances in Å follow each position.
Atoms (fractional coordinates):
In1 0.0000 0.0000 0.0000  2 Ir 2.78-3.05, 4 Os 2.80, 6 In 2.95-3.10
In2 0.5000 0.5000 0.3109  2 Os 2.80-3.03, 4 Ir 2.81, 6 In 2.95-3.10
Ir1 0.0000 0.0000 0.5231  6 In 2.78-3.05, 2 Ir 2.95, 4 Os 2.96
Os1 0.5000 0.5000 0.7914  6 In 2.80-3.03, 2 Os 2.95, 4 Ir 2.96


This record from the Alexandria database describes an optimized crystal structure of CuSiIN2. The functional is PBE-GGA.

Results
- symmetry = P4/mmm
- formation energy (no corrections) (eV/atom) = 1.75
- theoretical density (g/cm³) = 4.40
- VASP energy (eV per atom) = -3.80
- magnetization (μB per formula unit) = 2.77
- excess energy over the best structure of this formula in the dataset (kJ/mol of atoms) = 107.8

abc: 3.9219 3.9219 6.0455
angles: 90.00 90.00 90.00
Closest atoms and distances in Å follow each position.
Atoms (fractional coordinates):
Cu1 0.0000 0.0000 0.0000  4 N 1.96
Si1 0.5000 0.5000 0.5000  4 I 2.77
I1 0.0000 0.0000 0.5000  4 Si 2.77, 2 Cu 3.02
N1 0.0000 0.5000 0.0000  2 Cu 1.96
N2 0.5000 0.0000 0.0000  2 Cu 1.96


This record from the Alexandria database describes an optimized crystal structure of SmSi3Ir. The functional is PBE-GGA.

Results
- symmetry = Cmcm
- formation energy (no corrections) (eV/atom) = -0.74
- theoretical density (g/cm³) = 8.02
- VASP energy (eV per atom) = -6.71
- magnetization (μB per formula unit) = 0.00

abc: 5.6885 5.6885 6.0513
angles: 90.00 90.00 115.49
Closest atoms and distances in Å follow each position.
Atoms (fractional coordinates):
Sm1 0.2465 0.7535 0.7500  12 Si 3.21-3.27, 4 Ir 3.25-3.27
Sm2 0.7535 0.2465 0.2500  12 Si 3.21-3.27, 4 Ir 3.25-3.27
Si1 0.1273 0.8727 0.2500  1 Ir 2.38, 4 Si 2.53
Si2 0.2651 0.2651 0.0000  2 Ir 2.40, 2 Si 2.53
Si3 0.2651 0.2651 0.5000  2 Ir 2.40, 2 Si 2.53
Si4 0.7349 0.7349 0.0000  2 Ir 2.40, 2 Si 2.53
Si5 0.7349 0.7349 0.5000  2 Ir 2.40, 2 Si 2.53
Si6 0.8727 0.1273 0.7500  1 Ir 2.38, 4 Si 2.53
Ir1 0.3750 0.6250 0.2500  5 Si 2.38-2.40
Ir2 0.6250 0.3750 0.7500  5 Si 2.38-2.40


Question: Among the records above, which one has the lowest theoretical density?
Answer: Ba2HBr2